VASP calculation (PBE+U) on an optimized crystal structure of V2InPtO.

Results
Space-group type ... No. 123
Crystal system ... tetragonal
M_tot ... 1.107 μB per atom
DFT total energy ... -30.4 eV per formula unit

POSCAR file:
```
V2InPtO
1.0
-3.250 -0.682 -2.370
-2.602 -1.081 3.879
-1.086 3.916 0.363
V O In Pt
2 1 1 1
Cartesian
-1.625 -0.341 -1.185 V
-0.543 1.958 0.181 V
0.000 0.000 0.000 O
-1.301 -0.540 1.939 In
-3.469 1.077 0.936 Pt
```